The following is a PBE with a Hubbard U calculation of a relaxed structure of NiTe2PbF, from Alexandria via LeMat-Bulk.

Summary:
- V: 25.87 A^3/atom
- Total moment: 0.00 μB/cell
- VASP energy: -14.549 eV per cell

a b c (Å): 4.7985 5.6188 4.7985
angles (deg): 90.00 90.00 90.00
With the nearest neighbours (Å) after each atom.
Fractional coordinates of all 5 atoms:
Pb 0.0000 0.5000 0.0000  2 Ni 2.81
Ni 0.0000 0.0000 0.0000  4 Te 2.40
Te 0.0000 0.0000 0.5000  2 Ni 2.40
Te 0.5000 0.0000 0.0000  2 Ni 2.40
F 0.5000 0.5000 0.5000  4 Pb 3.39, 8 Te 3.69